Run w
DFT (PBE-GGA) results for SnAuF3 after structural relaxation.

The structure in extended XYZ format:
```
5
Lattice="4.476 0.000 0.000 0.000 4.476 0.000 0.000 0.000 4.476" Properties=species:S:1:pos:R:3 pbc="T T T"
Sn 0.000 0.000 0.000
Au 2.238 2.238 2.238
F 0.000 0.000 2.238
F 0.000 2.238 0.000
F 2.238 0.000 0.000
```

## Properties
Its symmetry is Pm-3m (221). The total magnetization comes out at 0.000 μB/cell. Its volume is 17.94 A^3/atom.

Run x
DFT (PBE-GGA) results for SnAuF3 after structural relaxation.

The structure in extended XYZ format:
```
5
Lattice="4.527 0.000 0.000 0.000 4.527 0.000 0.000 0.000 4.527" Properties=species:S:1:pos:R:3 pbc="T T T"
Sn 0.000 0.000 0.000
Au 2.263 2.263 2.263
F 0.000 2.263 2.263
F 2.263 0.000 2.263
F 2.263 2.263 0.000
```

## Properties
Its symmetry is Pm-3m (221). The total magnetization comes out at 0.323 μB/cell. Its volume is 18.55 A^3/atom.

Out of the structures above, which one is the most stable? Solution: run w.